# BaSnHgAu2, relaxed, DFT PBE
data_BaSnHgAu2
_chemical_formula_sum 'Ba1 Sn1 Hg1 Au2'
_cell_length_a 4.744
_cell_length_b 4.744
_cell_length_c 6.925
_cell_angle_alpha 110.03
_cell_angle_beta 110.03
_cell_angle_gamma 90.00
_symmetry_space_group_name_H-M 'P 1'
_symmetry_Int_Tables_number 1
_symmetry_space_group_name_Hall 'P 1'
loop_
_atom_site_label
_atom_site_fract_x
_atom_site_fract_y
_atom_site_fract_z
Au1 0.386 0.386 0.771
Au2 0.614 0.614 0.229
Ba1 0.000 0.000 0.000
Hg1 0.750 0.250 0.500
Sn1 0.250 0.750 0.500
# Fermi-level density of states: 0.359 states/eV per atom
# energy above the lowest structure with this stoichiometry: 0.000 eV/atom
# space-group type: I-4m2 (119)
# calculated formation energy: -0.502 eV per atom